Ce2BeCrN5 after structural relaxation. Source: Alexandria, functional PBE.

a b c (Å): 3.221 6.738 9.525
angles (deg): 90.00 90.00 103.83
Site moments in Bohr magnetons follow the coordinates.
Positions (direct):
1 Ce 0.871 0.743 0.818  0.04
2 Ce 0.121 0.242 0.695  0.03
3 Ce 0.129 0.257 0.318  0.04
4 Ce 0.879 0.758 0.195  0.03
5 Be 0.559 0.117 0.948  0.00
6 Be 0.441 0.883 0.448  0.00
7 Cr 0.802 0.605 0.516  1.02
8 Cr 0.198 0.395 0.016  1.02
9 N 0.341 0.683 0.012  -0.05
10 N 0.691 0.383 0.877  -0.01
11 N 0.500 0.001 0.784  -0.04
12 N 0.298 0.595 0.654  -0.03
13 N 0.948 0.897 0.520  -0.07
14 N 0.659 0.317 0.512  -0.05
15 N 0.309 0.617 0.377  -0.01
16 N 0.500 0.999 0.284  -0.04
17 N 0.702 0.405 0.154  -0.03
18 N 0.052 0.103 0.020  -0.07

## Properties
Formation energy from raw total energies = -0.892 eV per atom
ρ = 6.80 g cm⁻³
Space group = Cmc2_1